{
  "formula": "Y2AlPb",
  "functional": "PBE",
  "state": "optimized geometry",
  "space_group": "F-43m",
  "formation_enthalpy_0k_ev_per_atom": 0.11,
  "final_energy_ev_per_atom": -4.990,
  "cell": [[7.568, 0.000, 0.000], [0.000, 7.568, 0.000], [0.000, 0.000, 7.568]],
  "species": ["Y", "Y", "Y", "Y", "Y", "Y", "Y", "Y", "Al", "Al", "Al", "Al", "Pb", "Pb", "Pb", "Pb"],
  "fractional_positions": [[0.000, 0.000, 0.000], [0.000, 0.500, 0.500], [0.250, 0.250, 0.250], [0.250, 0.750, 0.750], [0.500, 0.000, 0.500], [0.500, 0.500, 0.000], [0.750, 0.250, 0.750], [0.750, 0.750, 0.250], [0.000, 0.000, 0.500], [0.000, 0.500, 0.000], [0.500, 0.000, 0.000], [0.500, 0.500, 0.500], [0.250, 0.250, 0.750], [0.250, 0.750, 0.250], [0.750, 0.250, 0.250], [0.750, 0.750, 0.750]]
}